The following is a DFT calculation (PBE) of La3TaW after structural relaxation.

```
5
Lattice="5.4740 0.0000 0.0000 0.0000 5.4740 0.0000 0.0000 0.0000 5.4740" Properties=species:S:1:pos:R:3 pbc="T T T"
La 0.0000 2.7370 0.0000
La 0.0000 0.0000 2.7370
La 2.7370 0.0000 0.0000
W 0.0000 0.0000 0.0000
Ta 2.7370 2.7370 2.7370
```

## Properties
Energy above the most stable polymorph in this dataset ... 0.00 kcal/mol of atoms
DFT formation energy ... 1.251 eV/atom

---

The following is a DFT calculation (PBE) of LaYTa2 after structural relaxation.

```
8
Lattice="8.2324 0.0000 0.0000 0.0000 8.2324 0.0000 4.1162 4.1162 2.9621" Properties=species:S:1:pos:R:3 pbc="T T T"
Y 4.1162 4.1162 0.0000
Y 4.1162 8.2324 1.4811
La 0.0000 0.0000 0.0000
La 8.2324 4.1162 1.4811
Ta 6.1702 2.0581 0.7405
Ta 2.0622 6.1743 0.7405
Ta 6.1743 6.1783 2.2216
Ta 10.2905 10.2864 2.2216
```

## Properties
Energy above the most stable polymorph in this dataset ... 19.58 kcal/mol of atoms
DFT formation energy ... 1.086 eV/atom